Entry 1:
VASP calculation (PBE-GGA) on a relaxed NaIrN3 crystal.

```
data_NaIrN3
_symmetry_space_group_name_H-M 'P m -3 m'
_symmetry_Int_Tables_number 221
_symmetry_space_group_name_Hall '-P 4 2 3'
_cell_length_a 3.883
_cell_length_b 3.883
_cell_length_c 3.883
_cell_angle_alpha 90.00
_cell_angle_beta 90.00
_cell_angle_gamma 90.00
loop_
_atom_site_label
_atom_site_type_symbol
_atom_site_fract_x
_atom_site_fract_y
_atom_site_fract_z
_atom_site_occupancy
Na1 Na 0.000 0.000 0.000 1
Ir1 Ir 0.500 0.500 0.500 1
N1 N 0.000 0.000 0.500 1
```

Calculated values
VASP energy	-18.75	eV/f.u.

Entry 2:
VASP calculation (PBE-GGA) on a relaxed VMoI2N crystal.

```
data_VMoI2N
_symmetry_space_group_name_H-M 'P 4/m m m'
_symmetry_Int_Tables_number 123
_symmetry_space_group_name_Hall '-P 4 2'
_cell_length_a 5.622
_cell_length_b 5.622
_cell_length_c 3.688
_cell_angle_alpha 90.00
_cell_angle_beta 90.00
_cell_angle_gamma 90.00
loop_
_atom_site_label
_atom_site_type_symbol
_atom_site_fract_x
_atom_site_fract_y
_atom_site_fract_z
_atom_site_occupancy
V1 V 0.000 0.000 0.000 1
Mo1 Mo 0.500 0.500 0.500 1
I1 I 0.000 0.500 0.000 1
N1 N 0.000 0.000 0.500 1
```

Calculated values
polymorph energy (0 for the lowest one)	0	meV/atom

Entry 3:
VASP calculation (PBE-GGA) on a relaxed PmNd3Dy crystal.

```
data_PmNd3Dy
_symmetry_space_group_name_H-M 'C 1 2/m 1'
_symmetry_Int_Tables_number 12
_cell_length_a 17.616
_cell_length_b 6.882
_cell_length_c 6.107
_cell_angle_alpha 90.00
_cell_angle_beta 109.97
_cell_angle_gamma 90.00
loop_
_symmetry_equiv_pos_as_xyz
'x,y,z'
'-x,-y,-z'
'-x,y,-z'
'x,-y,z'
'x+1/2,y+1/2,z'
'-x+1/2,-y+1/2,-z'
'-x+1/2,y+1/2,-z'
'x+1/2,-y+1/2,z'
loop_
_atom_site_label
_atom_site_type_symbol
_atom_site_fract_x
_atom_site_fract_y
_atom_site_fract_z
_atom_site_occupancy
Pm1 Pm 0.000 0.000 0.000 1
Pm2 Pm 0.000 0.000 0.500 1
Nd1 Nd 0.153 0.267 0.402 1
Nd2 Nd 0.226 0.000 0.975 1
Dy1 Dy 0.051 0.500 0.800 1
```

Calculated values
formation energy from the elements	0.185	eV/atom
polymorph energy (0 for the lowest one)	0	meV/atom

Entry 4:
VASP calculation (PBE-GGA) on a relaxed SrIn3Sb crystal.

```
data_SrIn3Sb
_symmetry_space_group_name_H-M 'P m -3 m'
_symmetry_Int_Tables_number 221
_symmetry_space_group_name_Hall '-P 4 2 3'
_cell_length_a 5.737
_cell_length_b 5.737
_cell_length_c 5.737
_cell_angle_alpha 90.00
_cell_angle_beta 90.00
_cell_angle_gamma 90.00
loop_
_atom_site_label
_atom_site_type_symbol
_atom_site_fract_x
_atom_site_fract_y
_atom_site_fract_z
_atom_site_occupancy
Sr1 Sr 0.000 0.000 0.000 1
In1 In 0.000 0.500 0.500 1
Sb1 Sb 0.500 0.500 0.500 1
```

Calculated values
polymorph energy (0 for the lowest one)	0	meV/atom

| no. | theoretical density (g cm⁻³) |
| --- | --- |
| 1 | 7.298 |
| 2 | 5.908 |
| 3 | 7.066 |
| 4 | 4.871 |